The following is a PBE-GGA calculation of crystalline ThInSnPd3 at its relaxed geometry, from Alexandria.

Lattice parameters (Å, degrees): 6.945 5.933 7.111 114.65 90.00 90.00
Fractional coordinates of all 12 atoms:
Th  0.750  0.349  0.699
Th  0.250  0.651  0.301
In  0.250  0.897  0.795
In  0.750  0.103  0.205
Sn  0.250  0.352  0.704
Sn  0.750  0.648  0.296
Pd  0.250  0.142  0.285
Pd  0.000  0.265  0.000
Pd  0.500  0.735  0.000
Pd  0.500  0.265  0.000
Pd  0.000  0.735  0.000
Pd  0.750  0.858  0.715

Calculated values
As for the formation energy: -0.50 eV/atom. The magnetic moment comes out at 0.00 μB/f.u.

---

The following is a PBE-GGA calculation of crystalline Pb5N2Cl12 at its relaxed geometry, from Alexandria.

Lattice parameters (Å, degrees): 8.231 8.231 10.884 84.45 84.45 56.09
Each line ends with the local moment (μB).
Fractional coordinates of all 19 atoms:
Pb  0.706  0.706  0.651  0.00
Pb  0.653  0.653  0.012  0.01
Pb  0.000  0.000  0.500  0.01
Pb  0.347  0.347  0.988  0.01
Pb  0.294  0.294  0.349  0.00
N  0.799  0.201  0.000  1.88
N  0.201  0.799  0.000  1.88
Cl  0.999  0.999  0.274  0.00
Cl  0.508  0.979  0.842  0.01
Cl  0.979  0.508  0.842  0.01
Cl  0.369  0.896  0.475  0.01
Cl  0.896  0.369  0.475  0.01
Cl  0.536  0.536  0.815  0.08
Cl  0.464  0.464  0.185  0.08
Cl  0.631  0.104  0.525  0.01
Cl  0.104  0.631  0.525  0.01
Cl  0.492  0.021  0.158  0.01
Cl  0.021  0.492  0.158  0.01
Cl  0.001  0.001  0.726  0.00

Calculated values
The magnetic moment comes out at 5.99 μB/f.u. The value obtained for the uncorrected formation energy is -0.317 eV/atom.

---

Copy entry 2 word for word.
The following is a PBE-GGA calculation of crystalline Pb5N2Cl12 at its relaxed geometry, from Alexandria.

Lattice parameters (Å, degrees): 8.231 8.231 10.884 84.45 84.45 56.09
Each line ends with the local moment (μB).
Fractional coordinates of all 19 atoms:
Pb  0.706  0.706  0.651  0.00
Pb  0.653  0.653  0.012  0.01
Pb  0.000  0.000  0.500  0.01
Pb  0.347  0.347  0.988  0.01
Pb  0.294  0.294  0.349  0.00
N  0.799  0.201  0.000  1.88
N  0.201  0.799  0.000  1.88
Cl  0.999  0.999  0.274  0.00
Cl  0.508  0.979  0.842  0.01
Cl  0.979  0.508  0.842  0.01
Cl  0.369  0.896  0.475  0.01
Cl  0.896  0.369  0.475  0.01
Cl  0.536  0.536  0.815  0.08
Cl  0.464  0.464  0.185  0.08
Cl  0.631  0.104  0.525  0.01
Cl  0.104  0.631  0.525  0.01
Cl  0.492  0.021  0.158  0.01
Cl  0.021  0.492  0.158  0.01
Cl  0.001  0.001  0.726  0.00

Calculated values
The magnetic moment comes out at 5.99 μB/f.u. The value obtained for the uncorrected formation energy is -0.317 eV/atom.